--- a ---
LaErInPb after structural relaxation, computed with GGA-PBE.

a = 5.0798 Å, b = 5.0798 Å, c = 8.9761 Å
α = 90.00°, β = 90.00°, γ = 90.00°
Closest atoms and distances in Å follow each position.
Space group I-4m2 (No. 119)
Asymmetric unit:
La 0.0000 0.0000 0.0000 (multiplicity 2)  4 In 3.39, 4 Pb 3.39, 4 Er 3.59
Er 0.0000 0.0000 0.5000 (multiplicity 2)  4 Pb 3.39, 4 In 3.39, 4 La 3.59
In 0.0000 0.5000 0.7500 (multiplicity 2)  4 La 3.39, 4 Er 3.39, 4 Pb 3.59
Pb 0.0000 0.5000 0.2500 (multiplicity 2)  4 Er 3.39, 4 La 3.39, 4 In 3.59

Results
- Total magnetic moment: 0.00 μB/cell

***

--- b ---
LaErInPb after structural relaxation, computed with GGA-PBE.

a = 7.7796 Å, b = 7.7796 Å, c = 7.7796 Å
α = 90.00°, β = 90.00°, γ = 90.00°
Closest atoms and distances in Å follow each position.
Space group F-43m (No. 216)
Asymmetric unit:
La 0.0000 0.0000 0.0000 (multiplicity 4)  4 In 3.37, 4 Pb 3.37
Er 0.0000 0.0000 0.5000 (multiplicity 4)  4 Pb 3.37, 4 In 3.37
In 0.2500 0.2500 0.7500 (multiplicity 4)  4 Er 3.37, 4 La 3.37
Pb 0.2500 0.2500 0.2500 (multiplicity 4)  4 La 3.37, 4 Er 3.37

Results
- Total magnetic moment: 0.00 μB/cell

***

Relative energy table, unit kJ/mol of atoms: a 0.0; b 2.8

***

--- a ---
LaPmErIn after structural relaxation, computed with GGA-PBE.

a = 7.8103 Å, b = 7.8103 Å, c = 7.8103 Å
α = 90.00°, β = 90.00°, γ = 90.00°
Closest atoms and distances in Å follow each position.
Space group F-43m (No. 216)
Asymmetric unit:
La 0.0000 0.0000 0.0000 (multiplicity 4)  4 Er 3.38, 4 Pm 3.38
Pm 0.2500 0.2500 0.7500 (multiplicity 4)  4 La 3.38, 4 In 3.38
Er 0.2500 0.2500 0.2500 (multiplicity 4)  4 In 3.38, 4 La 3.38
In 0.0000 0.0000 0.5000 (multiplicity 4)  4 Pm 3.38, 4 Er 3.38

Results
- Total magnetic moment: 0.00 μB/cell

***

--- b ---
LaPmErIn after structural relaxation, computed with GGA-PBE.

a = 7.8948 Å, b = 7.8948 Å, c = 7.8948 Å
α = 90.00°, β = 90.00°, γ = 90.00°
Closest atoms and distances in Å follow each position.
Space group F-43m (No. 216)
Asymmetric unit:
La 0.0000 0.0000 0.0000 (multiplicity 4)  4 In 3.42, 4 Er 3.42
Pm 0.0000 0.0000 0.5000 (multiplicity 4)  4 Er 3.42, 4 In 3.42
Er 0.2500 0.2500 0.7500 (multiplicity 4)  4 La 3.42, 4 Pm 3.42
In 0.2500 0.2500 0.2500 (multiplicity 4)  4 Pm 3.42, 4 La 3.42

Results
- Total magnetic moment: 2.59 μB/cell

***

Relative energy table, unit kJ/mol of atoms: a 6.4; b 0.0

***

--- a ---
LaPrErIn after structural relaxation, computed with GGA-PBE.

a = 7.8589 Å, b = 7.8589 Å, c = 7.8589 Å
α = 90.00°, β = 90.00°, γ = 90.00°
Closest atoms and distances in Å follow each position.
Space group F-43m (No. 216)
Asymmetric unit:
La 0.0000 0.0000 0.0000 (multiplicity 4)  4 Er 3.40, 4 Pr 3.40
Pr 0.2500 0.2500 0.7500 (multiplicity 4)  4 In 3.40, 4 La 3.40
Er 0.2500 0.2500 0.2500 (multiplicity 4)  4 In 3.40, 4 La 3.40
In 0.0000 0.0000 0.5000 (multiplicity 4)  4 Pr 3.40, 4 Er 3.40

Results
- Total magnetic moment: 0.02 μB/cell

***

--- b ---
LaPrErIn after structural relaxation, computed with GGA-PBE.

a = 7.9376 Å, b = 7.9376 Å, c = 7.9376 Å
α = 90.00°, β = 90.00°, γ = 90.00°
Closest atoms and distances in Å follow each position.
Space group F-43m (No. 216)
Asymmetric unit:
La 0.0000 0.0000 0.0000 (multiplicity 4)  4 Er 3.44, 4 In 3.44
Pr 0.0000 0.0000 0.5000 (multiplicity 4)  4 In 3.44, 4 Er 3.44
Er 0.2500 0.2500 0.7500 (multiplicity 4)  4 La 3.44, 4 Pr 3.44
In 0.2500 0.2500 0.2500 (multiplicity 4)  4 La 3.44, 4 Pr 3.44

Results
- Total magnetic moment: 1.08 μB/cell

***

Relative energy table, unit kJ/mol of atoms: a 6.5; b 0.0

***

--- a ---
LaSmErIn after structural relaxation, computed with GGA-PBE.

a = 7.8826 Å, b = 7.8826 Å, c = 7.8826 Å
α = 90.00°, β = 90.00°, γ = 90.00°
Closest atoms and distances in Å follow each position.
Space group F-43m (No. 216)
Asymmetric unit:
La 0.0000 0.0000 0.0000 (multiplicity 4)  4 In 3.41, 4 Er 3.41
Sm 0.0000 0.0000 0.5000 (multiplicity 4)  4 In 3.41, 4 Er 3.41
Er 0.2500 0.2500 0.7500 (multiplicity 4)  4 La 3.41, 4 Sm 3.41
In 0.2500 0.2500 0.2500 (multiplicity 4)  4 La 3.41, 4 Sm 3.41

Results
- Total magnetic moment: 3.12 μB/cell

***

--- b ---
LaSmErIn after structural relaxation, computed with GGA-PBE.

a = 7.7969 Å, b = 7.7969 Å, c = 7.7969 Å
α = 90.00°, β = 90.00°, γ = 90.00°
Closest atoms and distances in Å follow each position.
Space group F-43m (No. 216)
Asymmetric unit:
La 0.0000 0.0000 0.0000 (multiplicity 4)  4 Er 3.38, 4 Sm 3.38
Sm 0.2500 0.2500 0.7500 (multiplicity 4)  4 In 3.38, 4 La 3.38
Er 0.2500 0.2500 0.2500 (multiplicity 4)  4 In 3.38, 4 La 3.38
In 0.0000 0.0000 0.5000 (multiplicity 4)  4 Er 3.38, 4 Sm 3.38

Results
- Total magnetic moment: 0.16 μB/cell

***

Relative energy table, unit kJ/mol of atoms: a 0.0; b 6.6

***

--- a ---
LiErIn2 after structural relaxation, computed with GGA-PBE.

a = 3.5254 Å, b = 3.5254 Å, c = 7.2924 Å
α = 90.00°, β = 90.00°, γ = 90.00°
Closest atoms and distances in Å follow each position.
Space group P4/mmm (No. 123)
Asymmetric unit:
Li 0.0000 0.0000 0.0000 (multiplicity 1)  8 In 2.94
Er 0.0000 0.0000 0.5000 (multiplicity 1)  8 In 3.25, 4 Er 3.53
In 0.5000 0.5000 0.2139 (multiplicity 2)  4 Li 2.94, 1 In 3.12, 4 Er 3.25

Results
- Total magnetic moment: 0.21 μB/cell

***

--- b ---
LiErIn2 after structural relaxation, computed with GGA-PBE.

a = 3.3992 Å, b = 3.3992 Å, c = 29.8436 Å
α = 90.00°, β = 90.00°, γ = 120.00°
Closest atoms and distances in Å follow each position.
Space group R-3m (No. 166, hexagonal axes)
Asymmetric unit:
Li 0.0000 0.0000 0.0000 (multiplicity 3)  6 In 3.05, 6 Li 3.40
Er 0.0000 0.0000 0.5000 (multiplicity 3)  6 In 3.29, 6 Er 3.40
In 0.0000 0.0000 0.2553 (multiplicity 6)  3 Li 3.05, 3 Er 3.29, 6 In 3.40

Results
- Total magnetic moment: 0.00 μB/cell

***

Relative energy table, unit kJ/mol of atoms: a 0.0; b 20.8

***

--- a ---
Li2ErIn after structural relaxation, computed with GGA-PBE.

a = 6.8156 Å, b = 6.8156 Å, c = 6.8156 Å
α = 90.00°, β = 90.00°, γ = 90.00°
Closest atoms and distances in Å follow each position.
Space group Fm-3m (No. 225)
Asymmetric unit:
Li 0.2500 0.2500 0.2500 (multiplicity 8)  4 In 2.95, 4 Er 2.95
Er 0.0000 0.0000 0.0000 (multiplicity 4)  8 Li 2.95
In 0.0000 0.0000 0.5000 (multiplicity 4)  8 Li 2.95

Results
- Total magnetic moment: 0.00 μB/cell

***

--- b ---
Li2ErIn after structural relaxation, computed with GGA-PBE.

a = 4.5188 Å, b = 4.5188 Å, c = 4.4928 Å
α = 90.00°, β = 90.00°, γ = 90.00°
Closest atoms and distances in Å follow each position.
Space group P4/mmm (No. 123)
Asymmetric unit:
Li 0.0000 0.5000 0.0000 (multiplicity 2)  4 In 3.19, 4 Er 3.19, 4 Li 3.20
Er 0.0000 0.0000 0.5000 (multiplicity 1)  8 Li 3.19, 4 In 3.20
In 0.5000 0.5000 0.5000 (multiplicity 1)  8 Li 3.19, 4 Er 3.20

Results
- Total magnetic moment: 0.00 μB/cell

***

Relative energy table, unit kJ/mol of atoms: a 0.0; b 15.0

***

--- a ---
LiErInPb after structural relaxation, computed with GGA-PBE.

a = 4.4172 Å, b = 4.6296 Å, c = 4.7001 Å
α = 90.00°, β = 90.00°, γ = 90.00°
Closest atoms and distances in Å follow each position.
Space group Pmmm (No. 47)
Asymmetric unit:
Li 0.0000 0.0000 0.0000 (multiplicity 1)  4 In 3.20, 4 Pb 3.23, 4 Er 3.30
Er 0.0000 0.5000 0.5000 (multiplicity 1)  4 Pb 3.20, 4 In 3.23, 4 Li 3.30
In 0.5000 0.5000 0.0000 (multiplicity 1)  4 Li 3.20, 4 Er 3.23, 4 Pb 3.30
Pb 0.5000 0.0000 0.5000 (multiplicity 1)  4 Er 3.20, 4 Li 3.23, 4 In 3.30

Results
- Total magnetic moment: 0.00 μB/cell

***

--- b ---
LiErInPb after structural relaxation, computed with GGA-PBE.

a = 7.3577 Å, b = 7.3577 Å, c = 7.3577 Å
α = 90.00°, β = 90.00°, γ = 90.00°
Closest atoms and distances in Å follow each position.
Space group F-43m (No. 216)
Asymmetric unit:
Li 0.0000 0.0000 0.0000 (multiplicity 4)  4 In 3.19, 4 Pb 3.19
Er 0.0000 0.0000 0.5000 (multiplicity 4)  4 In 3.19, 4 Pb 3.19
In 0.2500 0.2500 0.7500 (multiplicity 4)  4 Li 3.19, 4 Er 3.19
Pb 0.2500 0.2500 0.2500 (multiplicity 4)  4 Li 3.19, 4 Er 3.19

Results
- Total magnetic moment: 0.00 μB/cell

***

Relative energy table, unit kJ/mol of atoms: a 0.0; b 6.9

***

--- a ---
LiErZnIn after structural relaxation, computed with GGA-PBE.

a = 6.7786 Å, b = 6.7786 Å, c = 6.7786 Å
α = 90.00°, β = 90.00°, γ = 90.00°
Closest atoms and distances in Å follow each position.
Space group F-43m (No. 216)
Asymmetric unit:
Li 0.0000 0.0000 0.0000 (multiplicity 4)  4 In 2.94, 4 Er 2.94
Er 0.2500 0.2500 0.7500 (multiplicity 4)  4 Li 2.94, 4 Zn 2.94
Zn 0.0000 0.0000 0.5000 (multiplicity 4)  4 Er 2.94, 4 In 2.94
In 0.2500 0.2500 0.2500 (multiplicity 4)  4 Zn 2.94, 4 Li 2.94

Results
- Total magnetic moment: 0.00 μB/cell

***

--- b ---
LiErZnIn after structural relaxation, computed with GGA-PBE.

a = 8.5333 Å, b = 4.9293 Å, c = 4.9298 Å
α = 90.00°, β = 125.30°, γ = 90.00°
Closest atoms and distances in Å follow each position.
Space group Cm (No. 8)
Asymmetric unit:
Li 0.0000 0.0000 0.0000 (multiplicity 2)  4 Zn 3.01-3.03, 4 In 3.02
Er 0.0000 0.5000 0.5004 (multiplicity 2)  4 Zn 3.01-3.02, 4 In 3.01-3.02
Zn 0.2501 0.0000 0.7519 (multiplicity 2)  4 Li 3.01-3.03, 4 Er 3.01-3.02
In 0.2500 0.5000 0.2496 (multiplicity 2)  4 Er 3.01-3.02, 4 Li 3.02

Results
- Total magnetic moment: 0.00 μB/cell

***

Relative energy table, unit kJ/mol of atoms: a 0.6; b 0.0